Below is crystalline TmZnGe2 at its relaxed geometry, with properties calculated at the PBE level.

The value obtained for the total magnetization is 0.000 μB/atom. For the formation energy, the calculation gives -0.25 eV per atom.

It has space group R-3m (No. 166, hexagonal axes), with a = 4.3622 Å, b = 4.3622 Å, c = 14.4116 Å, α = 90.00°, β = 90.00° and γ = 120.00°. The distinct sites, in fractional coordinates, are Tm at (0.0000, 0.0000, 0.0000), Zn at (0.0000, 0.0000, 0.5000) and Ge at (0.0000, 0.0000, 0.2245).

Below is crystalline Ce3Pt2N at its relaxed geometry, with properties calculated at the PBE level.

The value obtained for the total magnetization is 0.291 μB/atom. The value obtained for the uncorrected formation energy is -1.035 eV/atom.

It has space group C2/c (No. 15), with a = 12.974 Å, b = 5.836 Å, c = 7.766 Å, α = 90.00°, β = 111.77° and γ = 90.00°. The distinct sites, in fractional coordinates, are Ce at (0.000, 0.047, 0.250), Ce at (0.144, 0.475, 0.025), Pt at (0.173, 0.027, 0.608) and N at (0.000, 0.442, 0.250).

Below is crystalline IrPdF6 at its relaxed geometry, with properties calculated at the PBE level.

The value obtained for the total magnetization is 0.245 μB/atom. The value obtained for the uncorrected formation energy is -1.333 eV/atom.

It has space group P-31c (No. 163), with a = 5.0920 Å, b = 5.0920 Å, c = 9.6341 Å, α = 90.00°, β = 90.00° and γ = 120.00°. The distinct sites, in fractional coordinates, are Ir at (0.0000, 0.0000, 0.0000), Pd at (0.3333, 0.6667, 0.2500) and F at (0.0147, 0.3211, 0.6187).

Below is crystalline AcEuGeBr at its relaxed geometry, with properties calculated at the PBE level.

The value obtained for the total magnetization is 1.745 μB/atom. The value obtained for the uncorrected formation energy is -0.978 eV/atom.

It has space group F-43m (No. 216), with a = 7.764 Å, b = 7.764 Å, c = 7.764 Å, α = 90.00°, β = 90.00° and γ = 90.00°. The distinct sites, in fractional coordinates, are Ac at (0.000, 0.000, 0.000), Eu at (0.000, 0.000, 0.500), Ge at (0.250, 0.250, 0.250) and Br at (0.250, 0.250, 0.750).

Below is crystalline CaBi2Pt2 at its relaxed geometry, with properties calculated at the PBE level.

The value obtained for the total magnetization is 0.000 μB/atom. For the formation energy, the calculation gives -0.36 eV per atom.

It has space group I4/mmm (No. 139), with a = 5.016 Å, b = 5.016 Å, c = 10.599 Å, α = 90.00°, β = 90.00° and γ = 90.00°. The distinct sites, in fractional coordinates, are Ca at (0.000, 0.000, 0.000), Bi at (0.000, 0.000, 0.356) and Pt at (0.000, 0.500, 0.250).

Below is crystalline MgZn8Pd6 at its relaxed geometry, with properties calculated at the PBE level.

The value obtained for the total magnetization is 0.000 μB/atom. For the formation energy, the calculation gives -0.39 eV per atom.

It has space group R-3 (No. 148, hexagonal axes), with a = 7.4572 Å, b = 7.4572 Å, c = 15.5962 Å, α = 90.00°, β = 90.00° and γ = 120.00°. The distinct sites, in fractional coordinates, are Mg at (0.0000, 0.0000, 0.0000), Zn at (0.0000, 0.0000, 0.3265), Zn at (0.0016, 0.3389, 0.5487) and Pd at (0.0017, 0.3270, 0.3854).

Below is crystalline K3Rh at its relaxed geometry, with properties calculated at the PBE level.

The value obtained for the total magnetization is 0.099 μB/atom. For the formation energy, the calculation gives 0.51 eV per atom.

It has space group Immm (No. 71), with a = 3.477 Å, b = 5.782 Å, c = 17.623 Å, α = 90.00°, β = 90.00° and γ = 90.00°. The distinct sites, in fractional coordinates, are K at (0.000, 0.000, 0.000), K at (0.000, 0.500, 0.152) and Rh at (0.000, 0.000, 0.500).

Below is crystalline AcIn2Pd at its relaxed geometry, with properties calculated at the PBE level.

The energy above the lowest structure with this stoichiometry comes out at 0.039 eV per atom. The value obtained for the total magnetization is 0.000 μB/atom. For the formation energy, the calculation gives -0.59 eV per atom.

It has space group P2_1/m (No. 11), with a = 5.392 Å, b = 4.877 Å, c = 8.295 Å, α = 90.00°, β = 96.71° and γ = 90.00°. The distinct sites, in fractional coordinates, are Ac at (0.022, 0.250, 0.198), In at (0.340, 0.750, 0.456), In at (0.483, 0.250, 0.893) and Pd at (0.166, 0.250, 0.591).

Below is crystalline Dy6Y8Tl at its relaxed geometry, with properties calculated at the PBE level.

The value obtained for the total magnetization is 0.000 μB/atom. For the formation energy, the calculation gives 0.22 eV per atom.

It has space group P-3 (No. 147), with a = 9.1748 Å, b = 9.1748 Å, c = 6.7864 Å, α = 90.00°, β = 90.00° and γ = 120.00°. The distinct sites, in fractional coordinates, are Dy at (0.0766, 0.6803, 0.1045), Y at (0.0164, 0.3269, 0.3848), Y at (0.3333, 0.6667, 0.6898) and Tl at (0.0000, 0.0000, 0.0000).

Below is crystalline AcInSb2 at its relaxed geometry, with properties calculated at the PBE level.

The energy above the lowest structure with this stoichiometry comes out at 0.181 eV per atom. The value obtained for the total magnetization is 0.000 μB/atom. The value obtained for the uncorrected formation energy is -0.396 eV/atom.

It has space group Fm-3m (No. 225), with a = 7.969 Å, b = 7.969 Å, c = 7.969 Å, α = 90.00°, β = 90.00° and γ = 90.00°. The distinct sites, in fractional coordinates, are Ac at (0.000, 0.000, 0.000), In at (0.000, 0.000, 0.500) and Sb at (0.250, 0.250, 0.250).

Below is crystalline Pm4GaN2 at its relaxed geometry, with properties calculated at the PBE level.

The value obtained for the total magnetization is 0.074 μB/atom. The value obtained for the uncorrected formation energy is -0.958 eV/atom.

It has space group Cmcm (No. 63), with a = 3.732 Å, b = 12.427 Å, c = 13.040 Å, α = 90.00°, β = 90.00° and γ = 90.00°. The distinct sites, in fractional coordinates, are Pm at (0.000, 0.000, 0.000), Pm at (0.000, 0.263, 0.105), Pm at (0.000, 0.425, 0.750), Ga at (0.000, 0.109, 0.750) and N at (0.000, 0.361, 0.557).

Below is crystalline ScCuSeS at its relaxed geometry, with properties calculated at the PBE level.

The value obtained for the total magnetization is 0.000 μB/atom. The value obtained for the uncorrected formation energy is -1.093 eV/atom.

It has space group R3m (No. 160, hexagonal axes), with a = 3.7477 Å, b = 3.7477 Å, c = 19.3168 Å, α = 90.00°, β = 90.00° and γ = 120.00°. The distinct sites, in fractional coordinates, are Sc at (0.0000, 0.0000, 0.0000), Cu at (0.0000, 0.0000, 0.4587), Se at (0.0000, 0.0000, 0.5837) and S at (0.0000, 0.0000, 0.7509).